(1)
A plane-wave DFT calculation with PBE was carried out for a relaxed structure of K2TcMo.

Output
total magnetization: 0.0 Bohr magnetons per cell
E above lowest polymorph: 0.638 eV/atom
formation enthalpy at 0 K: 5.680 eV/f.u.
N(E_F): 4.6 states/eV per cell

Unit cell a=6.6516 b=6.6516 c=2.7102 alpha=96.63 beta=96.63 gamma=131.79
Element x y z (fractional)
K  0.0000  0.5000  0.0000
K  0.5000  0.0000  0.0000
Tc  0.0000  0.0000  0.5000
Mo  0.5000  0.5000  0.5000

---

(2)
A plane-wave DFT calculation with PBE was carried out for a relaxed structure of HoNiSnRh.

Output
total magnetization: 0.0 Bohr magnetons per cell
formation enthalpy at 0 K: -2.498 eV/f.u.
N(E_F): 3.6 states/eV per cell

Unit cell a=4.6479 b=4.6479 c=4.6479 alpha=60.00 beta=60.00 gamma=60.00
Element x y z (fractional)
Ho  0.0000  0.0000  0.0000
Ni  0.7500  0.7500  0.7500
Sn  0.5000  0.5000  0.5000
Rh  0.2500  0.2500  0.2500

---

(3)
A plane-wave DFT calculation with PBE was carried out for a relaxed structure of SnPdAu.

Output
total magnetization: 0.0 Bohr magnetons per cell
E above lowest polymorph: 0.139 eV/atom
formation enthalpy at 0 K: -0.432 eV/f.u.
N(E_F): 2.6 states/eV per cell

Unit cell a=9.4504 b=9.4504 c=4.0257 alpha=90.00 beta=90.00 gamma=160.82
Element x y z (fractional)
Sn  0.1951  0.8049  0.7500
Sn  0.8049  0.1951  0.2500
Pd  0.3668  0.6332  0.7500
Pd  0.6332  0.3668  0.2500
Au  0.0481  0.9519  0.7500
Au  0.9519  0.0481  0.2500

---

(4)
A plane-wave DFT calculation with PBE was carried out for a relaxed structure of LiLaRu2.

Output
total magnetization: 0.0 Bohr magnetons per cell
E above lowest polymorph: 0.217 eV/atom
formation enthalpy at 0 K: 0.920 eV/f.u.
N(E_F): 4.7 states/eV per cell

Unit cell a=5.3671 b=5.3671 c=2.9729 alpha=104.12 beta=104.12 gamma=115.98
Element x y z (fractional)
Li  0.0000  0.0000  0.0000
La  0.5000  0.5000  0.0000
Ru  0.0000  0.5000  0.5000
Ru  0.5000  0.0000  0.5000

---

(5)
A plane-wave DFT calculation with PBE was carried out for a relaxed structure of NaBe2BO4.

Output
total magnetization: 0.0 Bohr magnetons per cell
raw formation energy: -2.28 eV/atom
N(E_F): 0.0 states/eV per cell

Unit cell a=4.5477 b=4.5477 c=4.5477 alpha=123.38 beta=123.38 gamma=84.24
Element x y z (fractional)
Na  0.0000  0.0000  0.0000
Be  0.2500  0.7500  0.5000
Be  0.7500  0.2500  0.5000
B  0.5000  0.5000  0.0000
O  0.1701  0.1701  0.6144
O  0.4444  0.8299  0.0000
O  0.5556  0.5556  0.3856
O  0.8299  0.4444  0.0000

---

(6)
A plane-wave DFT calculation with PBE was carried out for a relaxed structure of Tc2P3.

Output
total magnetization: 0.0 Bohr magnetons per cell
E above lowest polymorph: 0.282 eV/atom
formation enthalpy at 0 K: -1.284 eV/f.u.
N(E_F): 2.4 states/eV per cell

Unit cell a=9.0451 b=9.0451 c=9.0451 alpha=19.18 beta=19.18 gamma=19.18
Element x y z (fractional)
Tc  0.0959  0.0959  0.0959
Tc  0.9041  0.9041  0.9041
P  0.2975  0.2975  0.2975
P  0.5000  0.5000  0.5000
P  0.7025  0.7025  0.7025

---

(7)
A plane-wave DFT calculation with PBE was carried out for a relaxed structure of AcGdGeIr.

Output
total magnetization: 7.0 Bohr magnetons per cell
formation enthalpy at 0 K: -2.003 eV/f.u.
N(E_F): 3.5 states/eV per cell

Unit cell a=5.2098 b=5.2098 c=5.2098 alpha=60.00 beta=60.00 gamma=60.00
Element x y z (fractional)
Ac  0.0000  0.0000  0.0000
Gd  0.5000  0.5000  0.5000
Ge  0.2500  0.2500  0.2500
Ir  0.7500  0.7500  0.7500

---

(8)
A plane-wave DFT calculation with PBE was carried out for a relaxed structure of MgSiOs.

Output
total magnetization: 0.0 Bohr magnetons per cell
raw formation energy: 0.00 eV/atom
N(E_F): 1.6 states/eV per cell

Unit cell a=4.1010 b=4.1010 c=4.1010 alpha=60.00 beta=60.00 gamma=60.00
Element x y z (fractional)
Mg  0.0000  0.0000  0.0000
Si  0.7500  0.7500  0.7500
Os  0.5000  0.5000  0.5000

---

(9)
A plane-wave DFT calculation with PBE was carried out for a relaxed structure of YNbGeCl2.

Output
total magnetization: 0.0 Bohr magnetons per cell
raw formation energy: -0.06 eV/atom
N(E_F): 7.0 states/eV per cell

Unit cell a=4.6714 b=4.6714 c=6.3735 alpha=90.00 beta=90.00 gamma=90.00
Element x y z (fractional)
Y  0.0000  0.0000  0.0000
Nb  0.0000  0.0000  0.5000
Ge  0.5000  0.5000  0.0000
Cl  0.0000  0.5000  0.5000
Cl  0.5000  0.0000  0.5000

---

(10)
A plane-wave DFT calculation with PBE was carried out for a relaxed structure of BaPbF5.

Output
total magnetization: 0.0 Bohr magnetons per cell
raw formation energy: -2.82 eV/atom
N(E_F): 2.3 states/eV per cell

Unit cell a=4.0007 b=4.0007 c=6.7809 alpha=90.00 beta=90.00 gamma=90.00
Element x y z (fractional)
Ba  0.0000  0.0000  0.0000
Pb  0.5000  0.5000  0.5000
F  0.0000  0.5000  0.3093
F  0.0000  0.5000  0.6907
F  0.5000  0.0000  0.3093
F  0.5000  0.0000  0.6907
F  0.5000  0.5000  0.0000

---

(11)
A plane-wave DFT calculation with PBE was carried out for a relaxed structure of LaPr2Nd3Sm6.

Output
total magnetization: 0.0 Bohr magnetons per cell
formation enthalpy at 0 K: 0.155 eV/f.u.
N(E_F): 18.0 states/eV per cell

Unit cell a=6.3671 b=6.3671 c=12.1259 alpha=95.04 beta=95.04 gamma=120.02
Element x y z (fractional)
La  0.0000  0.0000  0.0000
Pr  0.3334  0.6666  0.0000
Pr  0.6666  0.3334  0.0000
Nd  0.1667  0.8333  0.5000
Nd  0.5000  0.5000  0.5000
Nd  0.8333  0.1667  0.5000
Sm  0.0837  0.4173  0.2514
Sm  0.2500  0.2500  0.7486
Sm  0.4173  0.0837  0.2514
Sm  0.5827  0.9163  0.7486
Sm  0.7500  0.7500  0.2514
Sm  0.9163  0.5827  0.7486

---

(12)
A plane-wave DFT calculation with PBE was carried out for a relaxed structure of Rb2ReTcF6.

Output
total magnetization: 6.0 Bohr magnetons per cell
raw formation energy: -1.59 eV/atom
N(E_F): 7.1 states/eV per cell

Unit cell a=6.2920 b=6.2920 c=6.2920 alpha=119.94 beta=119.94 gamma=90.10
Element x y z (fractional)
Rb  0.2500  0.7500  0.5000
Rb  0.7500  0.2500  0.5000
Re  0.0000  0.0000  0.0000
Tc  0.5000  0.5000  0.0000
F  0.2357  0.2357  0.4713
F  0.2357  0.7643  0.0000
F  0.2369  0.2369  0.0000
F  0.7631  0.7631  0.0000
F  0.7643  0.2357  0.0000
F  0.7643  0.7643  0.5287

---

(13)
A plane-wave DFT calculation with PBE was carried out for a relaxed structure of Ho3TlCd.

Output
total magnetization: 0.0 Bohr magnetons per cell
E above lowest polymorph: 0.180 eV/atom
formation enthalpy at 0 K: -0.373 eV/f.u.
N(E_F): 22.4 states/eV per cell

Unit cell a=6.5827 b=6.5827 c=16.3567 alpha=104.73 beta=104.73 gamma=58.04
Element x y z (fractional)
Ho  0.0958  0.3234  0.8060
Ho  0.1223  0.3924  0.6073
Ho  0.2067  0.7669  0.9413
Ho  0.2331  0.7933  0.5587
Ho  0.3234  0.0958  0.3060
Ho  0.3924  0.1223  0.1073
Ho  0.6076  0.8777  0.8927
Ho  0.6766  0.9042  0.6940
Ho  0.7669  0.2067  0.4413
Ho  0.7933  0.2331  0.0587
Ho  0.8777  0.6076  0.3927
Ho  0.9042  0.6766  0.1940
Tl  0.0000  0.5000  0.0000
Tl  0.2360  0.7640  0.7500
Tl  0.5000  0.0000  0.5000
Tl  0.7640  0.2360  0.2500
Cd  0.3050  0.6416  0.3515
Cd  0.3584  0.6950  0.1485
Cd  0.6416  0.3050  0.8515
Cd  0.6950  0.3584  0.6485

---

(14)
A plane-wave DFT calculation with PBE was carried out for a relaxed structure of LiBeHg2.

Output
total magnetization: 0.0 Bohr magnetons per cell
formation enthalpy at 0 K: 0.409 eV/f.u.
N(E_F): 0.6 states/eV per cell

Unit cell a=3.2125 b=3.5294 c=5.9529 alpha=90.00 beta=90.00 gamma=90.00
Element x y z (fractional)
Li  0.0000  0.0000  0.0000
Be  0.5000  0.5000  0.7581
Hg  0.0000  0.0000  0.5620
Hg  0.5000  0.5000  0.2034

---

(15)
A plane-wave DFT calculation with PBE was carried out for a relaxed structure of Th2CdGa4Pd3.

Output
total magnetization: 0.0 Bohr magnetons per cell
formation enthalpy at 0 K: -6.667 eV/f.u.
N(E_F): 5.9 states/eV per cell

Unit cell a=4.3198 b=4.3198 c=10.7019 alpha=90.00 beta=90.00 gamma=90.00
Element x y z (fractional)
Th  0.0000  0.5000  0.2390
Th  0.5000  0.0000  0.7610
Cd  0.0000  0.0000  0.5000
Ga  0.0000  0.0000  0.0000
Ga  0.0000  0.5000  0.6441
Ga  0.5000  0.0000  0.3559
Ga  0.5000  0.5000  0.0000
Pd  0.0000  0.5000  0.8734
Pd  0.5000  0.0000  0.1266
Pd  0.5000  0.5000  0.5000

---

(16)
A plane-wave DFT calculation with PBE was carried out for a relaxed structure of MgGa3Au3.

Output
total magnetization: 0.0 Bohr magnetons per cell
formation enthalpy at 0 K: 0.599 eV/f.u.
N(E_F): 6.5 states/eV per cell

Unit cell a=7.1543 b=7.1543 c=7.1543 alpha=90.00 beta=90.00 gamma=90.00
Element x y z (fractional)
Mg  0.0000  0.0000  0.0000
Mg  0.5000  0.5000  0.5000
Ga  0.0000  0.2500  0.5000
Ga  0.0000  0.7500  0.5000
Ga  0.2500  0.5000  0.0000
Ga  0.5000  0.0000  0.2500
Ga  0.5000  0.0000  0.7500
Ga  0.7500  0.5000  0.0000
Au  0.0000  0.5000  0.2500
Au  0.0000  0.5000  0.7500
Au  0.2500  0.0000  0.5000
Au  0.5000  0.2500  0.0000
Au  0.5000  0.7500  0.0000
Au  0.7500  0.0000  0.5000

---

(17)
A plane-wave DFT calculation with PBE was carried out for a relaxed structure of Sm8Al2Ge.

Output
total magnetization: 0.0 Bohr magnetons per cell
formation enthalpy at 0 K: -2.808 eV/f.u.
N(E_F): 10.7 states/eV per cell

Unit cell a=9.8671 b=9.8671 c=6.8320 alpha=103.77 beta=103.77 gamma=30.03
Element x y z (fractional)
Sm  0.0202  0.0202  0.2728
Sm  0.2120  0.2120  0.8067
Sm  0.3443  0.3443  0.5236
Sm  0.4067  0.4067  0.0401
Sm  0.5933  0.5933  0.9599
Sm  0.6557  0.6557  0.4764
Sm  0.7880  0.7880  0.1933
Sm  0.9798  0.9798  0.7272
Al  0.1834  0.1834  0.2454
Al  0.8166  0.8166  0.7546
Ge  0.5000  0.5000  0.5000

---

(18)
A plane-wave DFT calculation with PBE was carried out for a relaxed structure of PmDy2Y8.

Output
total magnetization: 0.0 Bohr magnetons per cell
E above lowest polymorph: 0.020 eV/atom
formation enthalpy at 0 K: 1.869 eV/f.u.
N(E_F): 19.5 states/eV per cell

Unit cell a=8.9469 b=8.9469 c=6.6710 alpha=99.01 beta=99.01 gamma=43.84
Element x y z (fractional)
Pm  0.0000  0.0000  0.0000
Dy  0.2438  0.2438  0.3095
Dy  0.7562  0.7562  0.6905
Y  0.1732  0.6473  0.5926
Y  0.2057  0.2057  0.8004
Y  0.3527  0.8268  0.4074
Y  0.4111  0.4111  0.0962
Y  0.5889  0.5889  0.9038
Y  0.6473  0.1732  0.5926
Y  0.7943  0.7943  0.1996
Y  0.8268  0.3527  0.4074

---

(19)
A plane-wave DFT calculation with PBE was carried out for a relaxed structure of BaCr2Ag.

Output
total magnetization: 0.0 Bohr magnetons per cell
E above lowest polymorph: 0.376 eV/atom
formation enthalpy at 0 K: 3.560 eV/f.u.
N(E_F): 4.9 states/eV per cell

Unit cell a=3.1302 b=4.7828 c=6.6698 alpha=90.00 beta=103.06 gamma=90.00
Element x y z (fractional)
Ba  0.0000  0.0000  0.0000
Cr  0.2278  0.5000  0.6147
Cr  0.7722  0.5000  0.3853
Ag  0.5000  0.0000  0.5000

---

(20)
A plane-wave DFT calculation with PBE was carried out for a relaxed structure of BaSnO3.

Output
total magnetization: 0.0 Bohr magnetons per cell
raw formation energy: -2.09 eV/atom
N(E_F): 0.0 states/eV per cell

Unit cell a=7.1143 b=5.6432 c=7.9660 alpha=90.00 beta=97.42 gamma=90.00
Element x y z (fractional)
Ba  0.1233  0.2360  0.1726
Ba  0.1233  0.2640  0.6726
Ba  0.8767  0.7360  0.3274
Ba  0.8767  0.7640  0.8274
Sn  0.4164  0.7427  0.5702
Sn  0.4164  0.7573  0.0702
Sn  0.5836  0.2427  0.9298
Sn  0.5836  0.2573  0.4298
O  0.1429  0.6921  0.0959
O  0.1429  0.8079  0.5959
O  0.3246  0.0782  0.9456
O  0.3246  0.4218  0.4456
O  0.4461  0.5655  0.8338
O  0.4461  0.9345  0.3338
O  0.5539  0.0655  0.6662
O  0.5539  0.4345  0.1662
O  0.6754  0.5782  0.5544
O  0.6754  0.9218  0.0544
O  0.8571  0.1921  0.4041
O  0.8571  0.3079  0.9041

---

(21)
A plane-wave DFT calculation with PBE was carried out for a relaxed structure of CrTcPb3.

Output
total magnetization: 5.2 Bohr magnetons per cell
E above lowest polymorph: 0.000 eV/atom
formation enthalpy at 0 K: 4.071 eV/f.u.
N(E_F): 2.2 states/eV per cell

Unit cell a=5.3296 b=5.3296 c=5.3296 alpha=90.00 beta=90.00 gamma=90.00
Element x y z (fractional)
Cr  0.0000  0.0000  0.0000
Tc  0.5000  0.5000  0.5000
Pb  0.0000  0.5000  0.5000
Pb  0.5000  0.0000  0.5000
Pb  0.5000  0.5000  0.0000

---

(22)
A plane-wave DFT calculation with PBE was carried out for a relaxed structure of Ce3PmRu3.

Output
total magnetization: 0.0 Bohr magnetons per cell
formation enthalpy at 0 K: -2.033 eV/f.u.
N(E_F): 17.6 states/eV per cell

Unit cell a=7.2171 b=7.2171 c=7.2171 alpha=76.56 beta=76.56 gamma=76.56
Element x y z (fractional)
Ce  0.1306  0.3618  0.8286
Ce  0.1714  0.8694  0.6382
Ce  0.3618  0.8286  0.1306
Ce  0.6382  0.1714  0.8694
Ce  0.8286  0.1306  0.3618
Ce  0.8694  0.6382  0.1714
Pm  0.3342  0.3342  0.3342
Pm  0.6658  0.6658  0.6658
Ru  0.0519  0.7088  0.4478
Ru  0.2912  0.5522  0.9481
Ru  0.4478  0.0518  0.7088
Ru  0.5522  0.9481  0.2912
Ru  0.7088  0.4478  0.0519
Ru  0.9481  0.2912  0.5522

---

(23)
A plane-wave DFT calculation with PBE was carried out for a relaxed structure of BaMg4Al.

Output
total magnetization: 0.0 Bohr magnetons per cell
E above lowest polymorph: 0.157 eV/atom
formation enthalpy at 0 K: 0.537 eV/f.u.
N(E_F): 2.7 states/eV per cell

Unit cell a=6.1880 b=6.1880 c=6.1880 alpha=60.00 beta=60.00 gamma=60.00
Element x y z (fractional)
Ba  0.0000  0.0000  0.0000
Mg  0.1286  0.6238  0.6238
Mg  0.6238  0.1286  0.6238
Mg  0.6238  0.6238  0.1286
Mg  0.6238  0.6238  0.6238
Al  0.2500  0.2500  0.2500

---

(24)
A plane-wave DFT calculation with PBE was carried out for a relaxed structure of UCdIO4.

Output
total magnetization: 0.0 Bohr magnetons per cell
raw formation energy: -1.87 eV/atom
N(E_F): 8.3 states/eV per cell

Unit cell a=9.1244 b=9.1244 c=5.9323 alpha=106.94 beta=106.94 gamma=41.62
Element x y z (fractional)
U  0.1060  0.1060  0.1702
U  0.8940  0.8940  0.8298
Cd  0.2441  0.2441  0.8767
Cd  0.7559  0.7559  0.1233
I  0.4828  0.4828  0.7334
I  0.5172  0.5172  0.2666
O  0.0354  0.0354  0.8422
O  0.0422  0.5984  0.9041
O  0.1577  0.1577  0.5038
O  0.4016  0.9578  0.0959
O  0.5984  0.0422  0.9041
O  0.8423  0.8423  0.4962
O  0.9578  0.4016  0.0959
O  0.9646  0.9646  0.1578